DFT (GGA+U) results for a relaxed NiRhO3 crystal.

Cell: 3.831 3.831 3.831 Å, 90.00 90.00 90.00°
Atoms (fractional coordinates):
Ni 0.500 0.500 0.500
O 0.500 0.000 0.000
O 0.000 0.000 0.500
O 0.000 0.500 0.000
Rh 0.000 0.000 0.000

Computed properties:
- Fermi-level density of states: 7.7 states/eV/cell
- Electronic total energy: -0.3339 Ry per atom